Compound: PuSc3Te4
Source: Alexandria via LeMat-Bulk
Functional: PBE
Structure: relaxed

Values from the calculation:
The value obtained for the formation energy from raw total energies is -1101 meV per atom. The density of states at the Fermi level comes out at 1.536 states/eV per atom.

abc: 4.2019 7.3411 7.3411
angles: 109.01 90.00 90.00
With the nearest neighbours (Å) after each atom.
Element x y z (fractional)
Sc 0.0000 0.0000 0.5000  6 Te 2.99
Sc 0.5000 0.5000 0.5000  6 Te 2.91-2.92
Sc 0.0000 0.5000 0.0000  6 Te 2.99
Te 0.0000 0.2625 0.2625  4 Sc 2.92-2.99, 2 Pu 3.07
Te 0.5000 0.7435 0.2565  5 Sc 2.91-2.99, 1 Pu 3.07
Te 0.0000 0.7375 0.7375  4 Sc 2.92-2.99, 2 Pu 3.07
Te 0.5000 0.2565 0.7435  5 Sc 2.91-2.99, 1 Pu 3.07
Pu 0.5000 0.0000 0.0000  6 Te 3.07



Compound: Na2HgBr2O
Source: Alexandria via LeMat-Bulk
Functional: PBE
Structure: relaxed

Values from the calculation:
The value obtained for the formation energy from raw total energies is -1139 meV per atom. The density of states at the Fermi level comes out at 0.000 states/eV per atom.

abc: 6.4271 7.3386 7.9196
angles: 117.60 90.00 90.00
With the nearest neighbours (Å) after each atom.
Element x y z (fractional)
Na 0.7044 0.8220 0.2957  1 O 2.35
Na 0.7044 0.5263 0.7043  1 O 2.35
Na 0.2044 0.4737 0.2957  1 O 2.35
Na 0.2044 0.1780 0.7043  1 O 2.35
Hg 0.4537 0.9998 0.0000  2 O 2.06
Hg 0.9537 0.0002 0.0000  2 O 2.06
Br 0.2035 0.8721 0.3060  3 Na 2.89-3.23
Br 0.2035 0.5661 0.6940  3 Na 2.89-3.23
Br 0.7035 0.1279 0.6940  3 Na 2.89-3.23
Br 0.7035 0.4339 0.3060  3 Na 2.89-3.23
O 0.7038 0.8238 0.0000  2 Hg 2.06
O 0.2038 0.1762 0.0000  2 Hg 2.06



Compound: Ba2Ag4SnGe3
Source: Alexandria via LeMat-Bulk
Functional: PBE
Structure: relaxed

Values from the calculation:
The density of states at the Fermi level comes out at 0.518 states/eV per atom. The energy of formation comes out at -0.30 eV/atom.

abc: 4.6633 4.6633 11.3501
angles: 90.00 90.00 90.00
With the nearest neighbours (Å) after each atom.
Element x y z (fractional)
Ba 0.5000 0.0000 0.2404  6 Ge 3.56-3.76, 8 Ag 3.56-3.59, 2 Sn 3.76
Ba 0.0000 0.5000 0.7596  6 Ge 3.56-3.76, 8 Ag 3.56-3.59, 2 Sn 3.76
Ag 0.5000 0.5000 0.0000  4 Ge 2.72
Ag 0.0000 0.0000 0.0000  4 Ge 2.72
Ag 0.5000 0.0000 0.6409  3 Ge 2.68-2.83, 2 Sn 2.83
Ag 0.0000 0.5000 0.3591  3 Ge 2.68-2.83, 2 Sn 2.83
Sn 0.5000 0.5000 0.5000  4 Ag 2.83
Ge 0.0000 0.0000 0.5000  4 Ag 2.83
Ge 0.5000 0.0000 0.8769  5 Ag 2.68-2.72
Ge 0.0000 0.5000 0.1231  5 Ag 2.68-2.72



Compound: SrP2BrCl
Source: Alexandria via LeMat-Bulk
Functional: PBE
Structure: relaxed

Values from the calculation:
The value obtained for the formation energy from raw total energies is 68 meV per atom. The calculation puts the distance to the lowest polymorph of the same formula at 0 meV/atom. The density of states at the Fermi level comes out at 0.952 states/eV per atom.

abc: 4.7649 4.7649 6.2992
angles: 90.00 90.00 90.00
With the nearest neighbours (Å) after each atom.
Element x y z (fractional)
Sr 0.5000 0.5000 0.5000  4 Cl 3.37
P 0.0000 0.5000 0.0000  2 Br 2.38
P 0.5000 0.0000 0.0000  2 Br 2.38
Br 0.0000 0.0000 0.0000  4 P 2.38
Cl 0.0000 0.0000 0.5000  2 Br 3.15, 4 Sr 3.37



Compound: Y3TmTl
Source: Alexandria via LeMat-Bulk
Functional: PBE
Structure: relaxed

Values from the calculation:
The calculation puts the distance to the lowest polymorph of the same formula at 0 meV/atom. The density of states at the Fermi level comes out at 1.002 states/eV per atom. The energy of formation comes out at -0.15 eV/atom.

abc: 8.5879 9.4138 8.8128
angles: 42.60 44.49 42.17
With the nearest neighbours (Å) after each atom.
Element x y z (fractional)
Y 0.7393 0.4365 0.7526  2 Tl 3.20-3.21, 3 Y 3.37-3.49, 1 Tm 3.41
Y 0.0865 0.8506 0.7624  3 Tl 3.26-3.40, 2 Y 3.54-3.65, 2 Tm 3.58-3.59
Y 0.3834 0.0202 0.7352  1 Tl 3.20, 4 Y 3.27-3.54, 2 Tm 3.33-3.53
Y 0.2607 0.5635 0.2474  2 Tl 3.20-3.21, 3 Y 3.37-3.49, 1 Tm 3.41
Y 0.9135 0.1494 0.2376  3 Tl 3.26-3.40, 2 Y 3.54-3.65, 2 Tm 3.58-3.59
Y 0.6166 0.9798 0.2648  1 Tl 3.20, 4 Y 3.27-3.54, 2 Tm 3.33-3.53
Tm 0.4549 0.2821 0.7899  2 Tl 3.15-3.33, 2 Y 3.33-3.41, 2 Tm 3.40-3.43
Tm 0.5451 0.7179 0.2101  2 Tl 3.15-3.33, 2 Y 3.33-3.41, 2 Tm 3.40-3.43
Tl 0.9478 0.6426 0.7106  2 Tm 3.15-3.33, 6 Y 3.20-3.40
Tl 0.0522 0.3574 0.2894  2 Tm 3.15-3.33, 6 Y 3.20-3.40



Compound: CdNiIr2
Source: Alexandria via LeMat-Bulk
Functional: PBE
Structure: relaxed

Values from the calculation:
The density of states at the Fermi level comes out at 1.640 states/eV per atom. The energy of formation comes out at 0.19 eV/atom.

abc: 9.0157 9.0157 9.0157
angles: 17.80 17.80 17.80
With the nearest neighbours (Å) after each atom.
Element x y z (fractional)
Cd 0.7500 0.7500 0.7500  6 Cd 2.79, 6 Ir 2.93
Ir 0.9913 0.9913 0.9913  3 Ni 2.56, 6 Ir 2.79
Ir 0.5087 0.5087 0.5087  3 Ni 2.56, 6 Ir 2.79
Ni 0.2500 0.2500 0.2500  6 Ir 2.56, 6 Ni 2.79



Compound: BaCd4Pt2Au
Source: Alexandria via LeMat-Bulk
Functional: PBE
Structure: relaxed

Values from the calculation:
The density of states at the Fermi level comes out at 0.418 states/eV per atom. The energy of formation comes out at -0.29 eV/atom.

abc: 4.6373 4.6373 10.8158
angles: 77.62 77.62 60.00
With the nearest neighbours (Å) after each atom.
Element x y z (fractional)
Ba 0.0000 0.0000 0.0000  6 Pt 3.56, 6 Cd 3.59
Cd 0.4096 0.4096 0.7712  3 Pt 2.68, 1 Au 2.84
Cd 0.8727 0.8727 0.3818  3 Au 2.95, 3 Cd 3.12, 3 Pt 3.14
Cd 0.1273 0.1273 0.6182  3 Au 2.95, 3 Cd 3.12, 3 Pt 3.14
Cd 0.5904 0.5904 0.2288  3 Pt 2.68, 1 Au 2.84
Pt 0.7415 0.7415 0.7756  3 Cd 2.68
Pt 0.2585 0.2585 0.2244  3 Cd 2.68
Au 0.5000 0.5000 0.5000  8 Cd 2.84-2.95



Compound: KRbTa2Nb
Source: Alexandria via LeMat-Bulk
Functional: PBE
Structure: relaxed

Values from the calculation:
The density of states at the Fermi level comes out at 1.815 states/eV per atom. The energy of formation comes out at 3.11 eV/atom.

abc: 5.0458 5.0459 5.0458
angles: 90.00 90.00 90.00
With the nearest neighbours (Å) after each atom.
Element x y z (fractional)
Nb 0.5000 0.5000 0.5000  4 K 3.57, 8 Ta 3.57
K 0.0000 0.5000 0.0000  2 Rb 2.52
Rb 0.0000 0.0000 0.0000  4 Ta 2.52, 2 K 2.52
Ta 0.0000 0.0000 0.5000  2 Rb 2.52
Ta 0.5000 0.0000 0.0000  2 Rb 2.52



Compound: TiCu2Pt2
Source: Alexandria via LeMat-Bulk
Functional: PBE
Structure: relaxed

Values from the calculation:
The calculation puts the distance to the lowest polymorph of the same formula at 0 meV/atom. The density of states at the Fermi level comes out at 0.566 states/eV per atom. The energy of formation comes out at -0.53 eV/atom.

abc: 3.8197 4.6532 4.7837
angles: 78.42 66.47 65.77
With the nearest neighbours (Å) after each atom.
Element x y z (fractional)
Ti 0.0000 0.0000 0.0000  6 Pt 2.64-2.79, 6 Cu 2.69-2.78
Cu 0.1947 0.2009 0.4097  3 Cu 2.66-2.69, 6 Pt 2.69-2.75, 3 Ti 2.69-2.78
Cu 0.8053 0.7991 0.5903  3 Cu 2.66-2.69, 6 Pt 2.69-2.75, 3 Ti 2.69-2.78
Pt 0.5921 0.6158 0.2000  3 Ti 2.64-2.79, 6 Cu 2.69-2.75, 3 Pt 2.77-2.80
Pt 0.4079 0.3842 0.8000  3 Ti 2.64-2.79, 6 Cu 2.69-2.75, 3 Pt 2.77-2.80



Compound: Dy6HoCd
Source: Alexandria via LeMat-Bulk
Functional: PBE
Structure: relaxed

Values from the calculation:
The density of states at the Fermi level comes out at 1.375 states/eV per atom. The energy of formation comes out at 0.05 eV/atom.

abc: 9.2106 8.5405 6.2792
angles: 47.17 42.82 57.34
With the nearest neighbours (Å) after each atom.
Element x y z (fractional)
Dy 0.0400 0.4499 0.7520  1 Cd 3.14, 2 Dy 3.22-3.25, 1 Ho 3.44
Dy 0.7581 0.9601 0.7316  1 Cd 3.14, 2 Dy 3.22-3.25, 1 Ho 3.44
Dy 0.5502 0.2419 0.1680  1 Cd 3.14, 2 Dy 3.22-3.25, 1 Ho 3.44
Dy 0.2419 0.0399 0.2684  1 Cd 3.14, 2 Dy 3.22-3.25, 1 Ho 3.44
Dy 0.9600 0.5501 0.2480  1 Cd 3.14, 2 Dy 3.22-3.25, 1 Ho 3.44
Dy 0.4498 0.7581 0.8320  1 Cd 3.14, 2 Dy 3.22-3.25, 1 Ho 3.44
Ho 0.5000 0.5000 0.5000  12 Dy 3.44-3.63
Cd 0.0000 0.0000 0.0000  6 Dy 3.14



Compound: SmGdCdBi
Source: Alexandria via LeMat-Bulk
Functional: PBE
Structure: relaxed

Values from the calculation:
The density of states at the Fermi level comes out at 1.137 states/eV per atom. The energy of formation comes out at -0.47 eV/atom.

abc: 5.4607 5.4607 5.4607
angles: 60.00 60.00 60.00
With the nearest neighbours (Å) after each atom.
Element x y z (fractional)
Gd 0.5000 0.5000 0.5000  4 Cd 3.34, 4 Bi 3.34
Bi 0.2500 0.2500 0.2500  4 Gd 3.34, 4 Sm 3.34
Sm 0.0000 0.0000 0.0000  4 Cd 3.34, 4 Bi 3.34
Cd 0.7500 0.7500 0.7500  4 Gd 3.34, 4 Sm 3.34



Compound: Tm4Se3O
Source: Alexandria via LeMat-Bulk
Functional: PBE
Structure: relaxed

Values from the calculation:
The value obtained for the formation energy from raw total energies is -1798 meV per atom. The density of states at the Fermi level comes out at 0.523 states/eV per atom.

abc: 5.8232 7.5050 9.1625
angles: 90.00 90.00 90.00
With the nearest neighbours (Å) after each atom.
Element x y z (fractional)
Tm 0.0861 0.8690 0.0000  1 O 2.27
Tm 0.5788 0.1360 0.0000  1 O 2.15
Tm 0.0705 0.2621 0.2074  1 O 2.19
Tm 0.5705 0.7379 0.2926  1 O 2.19
Tm 0.0788 0.8640 0.5000  1 O 2.15
Tm 0.5861 0.1310 0.5000  1 O 2.27
Tm 0.5705 0.7379 0.7074  1 O 2.19
Tm 0.0705 0.2621 0.7926  1 O 2.19
Se 0.6013 0.7681 0.0000  4 Tm 2.70-2.92
Se 0.0803 0.6434 0.2531  5 Tm 2.80-3.07
Se 0.5803 0.3566 0.2469  5 Tm 2.80-3.07
Se 0.1013 0.2319 0.5000  4 Tm 2.70-2.92
Se 0.5803 0.3566 0.7531  5 Tm 2.80-3.07
Se 0.0803 0.6434 0.7469  5 Tm 2.80-3.07
O 0.9475 0.1521 0.0000  4 Tm 2.15-2.27
O 0.4475 0.8479 0.5000  4 Tm 2.15-2.27



| no. | size of the total moment (μB per cell) |
| --- | --- |
| 1 | 6.09 |
| 2 | 0.00 |
| 3 | 0.00 |
| 4 | 0.00 |
| 5 | 0.00 |
| 6 | 0.82 |
| 7 | 0.00 |
| 8 | 0.00 |
| 9 | 0.00 |
| 10 | 0.00 |
| 11 | 7.56 |
| 12 | 0.00 |